The following is a GGA-PBE calculation of an optimized crystal structure of Li2HgCl, from Alexandria.

abc: 3.5106 5.8404 8.0288
angles: 90.00 90.00 90.00
Space group Cmmm (No. 65)
Asymmetric unit:
Li 0.0000 0.0000 0.2031 x4
Hg 0.0000 0.5000 0.5000 x2
Cl 0.0000 0.5000 0.0000 x2

Values from the calculation:
V: 165 Å³/cell
distance to the lowest polymorph of the same formula: 57 meV per atom
N(E_F): 0.554 states/eV/f.u.
raw formation energy: -3.5 eV per formula unit